# Ca3Cr, relaxed, DFT PBE
# Crystal system: tetragonal
# Uncorrected energy in eV per atom: -3.556
# Calculated density in g/cm3: 2.09
# ΔH_f (0 K) in meV per atom: 351
# SG: P4/mmm (123)
data_Ca3Cr
_cell_length_a 3.859
_cell_length_b 3.859
_cell_length_c 9.186
_cell_angle_alpha 90.00
_cell_angle_beta 90.00
_cell_angle_gamma 90.00
_symmetry_space_group_name_H-M 'P 1'
_symmetry_Int_Tables_number 1
_symmetry_space_group_name_Hall 'P 1'
loop_
_atom_site_label
_atom_site_fract_x
_atom_site_fract_y
_atom_site_fract_z
_atom_site_occupancy
Ca1 0.000 0.000 0.000 1
Ca2 0.500 0.500 0.300 1
Ca3 0.500 0.500 0.700 1
Cr1 0.000 0.000 0.500 1